Entry 1:
A geometry-optimized BaTaIr structure, computed with GGA-PBE.

Unit cell a=4.2889 b=4.2889 c=5.4798 alpha=90.00 beta=90.00 gamma=120.00
Closest atoms and distances in Å follow each position.
Sites, in units of the cell vectors:
1 Ba 0.0000 0.0000 0.9895  6 Ir 3.52-3.88, 6 Ta 3.64-3.75
2 Ta 0.3333 0.6667 0.4763  3 Ir 2.50
3 Ir 0.6667 0.3333 0.5341  3 Ta 2.50

Output
Symmetry: P3m1
Total DFT energy (no corrections): -7.412 eV/atom
Relative energy among the computed polymorphs: 33 meV per atom
Formation enthalpy at 0 K: 133 meV per atom
Crystal system: trigonal

---

Entry 2:
A geometry-optimized BaTaIr structure, computed with GGA-PBE.

Unit cell a=4.7071 b=4.7071 c=4.7071 alpha=60.00 beta=60.00 gamma=60.00
Closest atoms and distances in Å follow each position.
Sites, in units of the cell vectors:
1 Ir 0.0000 0.0000 0.0000  4 Ba 2.88
2 Ta 0.5000 0.5000 0.5000  4 Ba 2.88
3 Ba 0.2500 0.2500 0.2500  4 Ta 2.88, 4 Ir 2.88

Output
Symmetry: F-43m
Total DFT energy (no corrections): -5.531 eV/atom
Relative energy among the computed polymorphs: 1914 meV per atom
Formation enthalpy at 0 K: 2014 meV per atom
Crystal system: cubic

---

Entry 3:
A geometry-optimized Ba2TaIr structure, computed with GGA-PBE.

Unit cell a=9.6417 b=9.6417 c=9.6417 alpha=26.05 beta=26.05 gamma=26.05
Closest atoms and distances in Å follow each position.
Sites, in units of the cell vectors:
1 Ir 0.4660 0.4660 0.4660  3 Ta 2.53
2 Ba 0.2136 0.2136 0.2136  3 Ir 3.38, 3 Ta 3.62
3 Ba 0.0335 0.0335 0.0335  3 Ta 3.49, 3 Ir 3.74
4 Ta 0.7869 0.7869 0.7869  3 Ir 2.53

Output
Symmetry: R3m
Total DFT energy (no corrections): -6.133 eV/atom
Relative energy among the computed polymorphs: 0 meV per atom
Formation enthalpy at 0 K: 7 meV per atom
Crystal system: trigonal